Entry 1:
PuSb12Rh4 | PBE-GGA | optimized geometry

Structure (POSCAR):
```
PuSb12Rh4
1.0
-4.713 4.713 4.713
4.713 -4.713 4.713
4.713 4.713 -4.713
Pu Sb Rh
1 12 4
Direct
0.000 0.000 0.000
0.155 0.337 0.491
0.155 0.663 0.818
0.182 0.845 0.337
0.337 0.182 0.845
0.337 0.491 0.155
0.491 0.155 0.337
0.509 0.845 0.663
0.663 0.509 0.845
0.663 0.818 0.155
0.818 0.155 0.663
0.845 0.337 0.182
0.845 0.663 0.509
0.000 0.000 0.500
0.000 0.500 0.000
0.500 0.000 0.000
0.500 0.500 0.500
```

Final energy ... -5.883 eV/atom
D(E_F) ... 18.0 states/eV/f.u.
Space group ... No. 204

=====

Entry 2:
Zr2In2P | PBE-GGA | optimized geometry

Structure (POSCAR):
```
Zr2In2P
1.0
3.809 0.000 0.000
0.000 3.809 0.000
0.000 0.000 15.491
Zr In P
4 4 2
Direct
0.000 0.000 0.091
0.000 0.000 0.909
0.500 0.500 0.409
0.500 0.500 0.591
0.000 0.500 0.250
0.000 0.500 0.750
0.500 0.000 0.250
0.500 0.000 0.750
0.000 0.000 0.500
0.500 0.500 0.000
```

Energy relative to the elements ... -4.9 kJ per mole of atoms
D(E_F) ... 3.3 states/eV/f.u.
Energy above the most stable polymorph in this dataset ... 501 meV/atom
Space group ... No. 139

=====

Entry 3:
Tb5SmIr4 | PBE-GGA | optimized geometry

Structure (POSCAR):
```
Tb5SmIr4
1.0
9.061 -2.145 0.000
9.061 2.145 0.000
-3.027 0.000 6.780
Tb Sm Ir
5 1 4
Direct
0.000 0.000 0.000
0.334 0.334 0.092
0.334 0.334 0.576
0.666 0.666 0.424
0.666 0.666 0.908
0.000 0.000 0.500
0.200 0.200 0.700
0.500 0.500 0.237
0.500 0.500 0.763
0.800 0.800 0.300
```

Energy relative to the elements ... -61.5 kJ per mole of atoms
D(E_F) ... 4.0 states/eV/f.u.
Space group ... No. 12